Material: TaAsRh
Method: DFT, GGA-PBEsol
State: relaxed

Output
ΔE_f = -17.2 kJ per mole of atoms

POSCAR file:
```
TaAsRh
1.0
2.912 0.000 0.000
-1.456 2.522 0.000
0.000 0.000 6.413
As Ta Rh
1 1 1
Cartesian
0.000 0.000 6.372
1.456 0.841 2.181
0.000 1.681 4.273
```

Material: TaAs2Rh
Method: DFT, GGA-PBEsol
State: relaxed

Output
ΔE_f = -24.1 kJ per mole of atoms

POSCAR file:
```
TaAs2Rh
1.0
3.045 0.000 0.000
0.000 4.326 -0.033
0.000 -2.174 4.782
Ta As Rh
1 2 1
Cartesian
0.000 -1.087 2.391
0.000 0.000 0.000
1.522 1.076 2.374
1.522 2.163 -0.017
```